--- i ---
Computed, not measured: a geometry-optimized AlGaPCl structure at the PBE-GGA level of DFT.

Cell: 10.6713 4.2655 3.8498 Å, 90.00 96.03 90.00°
With the nearest neighbours (Å) after each atom.
Space group Cm (No. 8)
Unique sites:
Al1 0.0000 0.0000 0.0000 [2 per cell]  2 Cl 2.37, 2 P 2.37-2.44
Ga1 0.2381 0.0000 0.3314 [2 per cell]  2 P 2.54, 1 Al 2.72
P1 0.3639 0.5000 0.4499 [2 per cell]  2 Al 2.37-2.44, 2 Ga 2.54
Cl1 0.0717 0.5000 0.8367 [2 per cell]  2 Al 2.37

--- ii ---
Computed, not measured: a geometry-optimized AlGaPCl structure at the PBE-GGA level of DFT.

Cell: 3.0476 4.6203 10.8426 Å, 90.00 90.00 90.00°
With the nearest neighbours (Å) after each atom.
Space group Amm2 (No. 38)
Unique sites:
Al1 0.0000 0.0000 0.0000 [2 per cell]  2 Cl 2.32, 2 P 2.50
Ga1 0.5000 0.0000 0.2119 [2 per cell]  2 P 2.58, 2 Al 2.76
P1 0.5000 0.0000 0.8172 [2 per cell]  2 Al 2.50, 2 Ga 2.58
Cl1 0.0000 0.0000 0.5227 [2 per cell]  2 Al 2.32

Question: which arrangement is favored energetically? Ranking from most to least stable: i, ii.

--- i ---
Computed, not measured: a geometry-optimized BC2 structure at the PBE-GGA level of DFT.

Cell: 2.4545 7.8787 3.9477 Å, 90.00 90.00 90.00°
With the nearest neighbours (Å) after each atom.
Space group Imm2 (No. 44)
Unique sites:
B1 0.0000 0.1640 0.0000 [4 per cell]  4 C 1.61-1.69
C1 0.0000 0.0000 0.2510 [2 per cell]  2 C 1.53, 2 B 1.63
C2 0.0000 0.3401 0.2066 [4 per cell]  1 C 1.54, 3 B 1.61-1.69
C3 0.0000 0.5000 0.9831 [2 per cell]  4 C 1.53-1.54

--- ii ---
Computed, not measured: a geometry-optimized BC2 structure at the PBE-GGA level of DFT.

Cell: 11.6858 2.5295 5.2919 Å, 90.00 102.39 90.00°
With the nearest neighbours (Å) after each atom.
Space group Cm (No. 8)
Unique sites:
B1 0.0000 0.0000 0.0000 [2 per cell]  1 C 1.55, 2 B 1.73
B2 0.0800 0.0000 0.7401 [2 per cell]  3 C 1.64, 1 B 1.82
B3 0.1624 0.5000 0.3067 [2 per cell]  4 C 1.63-1.67
B4 0.3984 0.0000 0.9122 [2 per cell]  2 C 1.60-1.65, 2 B 1.73
C1 0.0731 0.0000 0.2821 [2 per cell]  1 C 1.55, 3 B 1.55-1.63
C2 0.1714 0.5000 0.8061 [2 per cell]  2 C 1.55-1.57, 2 B 1.64
C3 0.2446 0.5000 0.0910 [2 per cell]  3 C 1.55-1.57, 1 B 1.64
C4 0.2486 0.5000 0.6023 [2 per cell]  3 C 1.53-1.55, 1 B 1.67
C5 0.3225 0.0000 0.1415 [2 per cell]  3 C 1.55-1.58, 1 B 1.65
C6 0.3240 0.0000 0.6207 [2 per cell]  3 C 1.53-1.56, 1 B 1.60
C7 0.4046 0.0000 0.4205 [2 per cell]  4 C 1.56-1.58
C8 0.4852 0.5000 0.4634 [2 per cell]  3 C 1.55-1.56, 1 B 1.64

Question: which arrangement is favored energetically? Ranking from most to least stable: i, ii.

--- i ---
Computed, not measured: a geometry-optimized CaOsBr2 structure at the PBE-GGA level of DFT.

Cell: 6.8767 8.5233 4.8777 Å, 90.00 134.30 90.00°
With the nearest neighbours (Å) after each atom.
Space group C2/m (No. 12)
Unique sites:
Ca1 0.0000 0.0000 0.0000 [2 per cell]  4 Br 2.75
Os1 0.0000 0.5000 0.0000 [2 per cell]  4 Br 2.75
Br1 0.2500 0.2500 0.5000 [4 per cell]  2 Os 2.75, 2 Ca 2.75

--- ii ---
Computed, not measured: a geometry-optimized CaOsBr2 structure at the PBE-GGA level of DFT.

Cell: 7.0971 7.0971 7.0971 Å, 90.00 90.00 90.00°
With the nearest neighbours (Å) after each atom.
Space group Fm-3m (No. 225)
Unique sites:
Ca1 0.0000 0.0000 0.0000 [4 per cell]  8 Br 3.07
Os1 0.0000 0.0000 0.5000 [4 per cell]  8 Br 3.07
Br1 0.2500 0.2500 0.2500 [8 per cell]  4 Os 3.07, 4 Ca 3.07

Question: which arrangement is favored energetically? Ranking from most to least stable: i, ii.

--- i ---
Computed, not measured: a geometry-optimized ScAg2Mo structure at the PBE-GGA level of DFT.

Cell: 3.1454 4.5846 10.0238 Å, 90.00 90.00 90.00°
With the nearest neighbours (Å) after each atom.
Space group Immm (No. 71)
Unique sites:
Sc1 0.0000 0.0000 0.0000 [2 per cell]  4 Mo 2.78, 4 Ag 3.03
Ag1 0.0000 0.5000 0.2417 [4 per cell]  4 Ag 2.78, 2 Mo 2.89, 2 Sc 3.03
Mo1 0.0000 0.0000 0.5000 [2 per cell]  4 Sc 2.78, 4 Ag 2.89

--- ii ---
Computed, not measured: a geometry-optimized ScAg2Mo structure at the PBE-GGA level of DFT.

Cell: 4.0720 4.0720 8.6948 Å, 90.00 90.00 90.00°
With the nearest neighbours (Å) after each atom.
Space group I4/mmm (No. 139)
Unique sites:
Sc1 0.0000 0.0000 0.0000 [2 per cell]  4 Mo 2.88, 8 Ag 2.98
Ag1 0.0000 0.5000 0.2500 [4 per cell]  4 Ag 2.88, 4 Mo 2.98, 4 Sc 2.98
Mo1 0.0000 0.0000 0.5000 [2 per cell]  4 Sc 2.88, 8 Ag 2.98

Question: which arrangement is favored energetically? Ranking from most to least stable: i, ii.

--- i ---
Computed, not measured: a geometry-optimized ScZn2Tc structure at the PBE-GGA level of DFT.

Cell: 3.4210 3.4210 5.4452 Å, 90.00 90.00 90.00°
With the nearest neighbours (Å) after each atom.
Space group P4/mmm (No. 123)
Unique sites:
Sc1 0.0000 0.0000 0.0000 [1 per cell]  2 Tc 2.72, 8 Zn 2.84
Zn1 0.5000 0.5000 0.2721 [2 per cell]  1 Zn 2.48, 4 Tc 2.72
Tc1 0.0000 0.0000 0.5000 [1 per cell]  8 Zn 2.72, 2 Sc 2.72

--- ii ---
Computed, not measured: a geometry-optimized ScZn2Tc structure at the PBE-GGA level of DFT.

Cell: 3.8789 3.8789 8.4918 Å, 90.00 90.00 90.00°
With the nearest neighbours (Å) after each atom.
Space group I-4m2 (No. 119)
Unique sites:
Sc1 0.0000 0.0000 0.0000 [2 per cell]  8 Zn 2.74-2.88, 4 Tc 2.88
Zn1 0.0000 0.0000 0.5000 [2 per cell]  4 Sc 2.74, 4 Tc 2.88, 4 Zn 2.88
Zn2 0.0000 0.5000 0.2500 [2 per cell]  4 Tc 2.74, 4 Sc 2.88, 4 Zn 2.88
Tc1 0.0000 0.5000 0.7500 [2 per cell]  8 Zn 2.74-2.88, 4 Sc 2.88

Question: which arrangement is favored energetically? Ranking from most to least stable: i, ii.

--- i ---
Computed, not measured: a geometry-optimized KTe2W structure at the PBE-GGA level of DFT.

Cell: 8.0649 8.0649 9.0813 Å, 90.00 90.00 90.00°
With the nearest neighbours (Å) after each atom.
Space group I-42d (No. 122)
Unique sites:
K1 0.0000 0.0000 0.0000 [4 per cell]  4 Te 3.62
Te1 0.1541 0.2500 0.6250 [8 per cell]  2 W 2.63
W1 0.0000 0.0000 0.5000 [4 per cell]  4 Te 2.63

--- ii ---
Computed, not measured: a geometry-optimized KTe2W structure at the PBE-GGA level of DFT.

Cell: 3.4334 3.4334 8.5458 Å, 90.00 90.00 90.00°
With the nearest neighbours (Å) after each atom.
Space group P4/mmm (No. 123)
Unique sites:
K1 0.0000 0.0000 0.0000 [1 per cell]  4 K 3.43, 8 Te 3.59
Te1 0.5000 0.5000 0.3100 [2 per cell]  4 W 2.92, 1 Te 3.25
W1 0.0000 0.0000 0.5000 [1 per cell]  8 Te 2.92

Question: which arrangement is favored energetically? Ranking from most to least stable: ii, i.